This record from the Alexandria database describes an optimized crystal structure of NdYSb. The functional is PBE-GGA.

Calculated total energy, eV per atom: -5.5958
Crystal system: trigonal
Uncorrected formation energy, eV per atom: -0.478

Cell lengths 5.105, 5.105, 4.158 Å; angles 90.00, 90.00, 120.00 degrees
Atoms (fractional coordinates):
Nd  0.000  0.000  0.000
Y  0.333  0.667  0.480
Sb  0.667  0.333  0.650